Material: GdTaGe2
Method: DFT, PBE-GGA
State: relaxed

Formation energy from the elements in eV/atom: -0.42
Crystal system: trigonal

```
GdTaGe2
1.0
-0.187 -1.700 -3.485
1.568 -3.511 -0.533
-5.230 -4.532 0.329
Ge Gd Ta
2 1 1
Cartesian
-3.061 -7.393 -2.716
-0.788 -2.350 -0.974
-1.925 -4.872 -1.845
0.000 0.000 0.000
```